A plane-wave DFT calculation with PBE was carried out for SrReIr after structural relaxation.

Output
energy of formation from the pure elements: 0.57 eV/f.u.
relative energy among the computed polymorphs: 151 meV/atom
total magnetic moment: 0.00 μB/cell
ρ: 12.1 Mg/m³

Lattice parameters (Å, degrees): 7.694 4.465 7.430 90.00 90.00 90.00
Positions (direct):
Sr 0.001 0.250 0.168
Sr 0.499 0.750 0.668
Sr 0.501 0.250 0.332
Sr 0.999 0.750 0.832
Re 0.153 0.250 0.580
Re 0.347 0.750 0.080
Re 0.653 0.250 0.920
Re 0.847 0.750 0.420
Ir 0.169 0.750 0.410
Ir 0.331 0.250 0.910
Ir 0.669 0.750 0.090
Ir 0.831 0.250 0.590

A plane-wave DFT calculation with PBE was carried out for LaPr3Tm2Te6 after structural relaxation.

Output
formation energy (no corrections): -1382 meV per atom
total magnetic moment: 0.00 μB/cell
ρ: 7.3 Mg/m³

Lattice parameters (Å, degrees): 7.693 7.693 7.817 99.41 99.41 120.19
Positions (direct):
La 0.000 0.000 0.000
Pr 0.155 0.845 0.500
Pr 0.500 0.500 0.500
Pr 0.845 0.155 0.500
Tm 0.332 0.668 0.000
Tm 0.668 0.332 0.000
Te 0.080 0.429 0.242
Te 0.273 0.273 0.771
Te 0.429 0.080 0.242
Te 0.571 0.920 0.758
Te 0.727 0.727 0.229
Te 0.920 0.571 0.758

A plane-wave DFT calculation with PBE was carried out for BaAuN2F after structural relaxation.

Output
formation energy (no corrections): 921 meV per atom
relative energy among the computed polymorphs: 1002 meV/atom
total magnetic moment: 4.24 μB/cell
ρ: 4.2 Mg/m³

Lattice parameters (Å, degrees): 5.518 5.518 4.896 90.00 90.00 90.00
Positions (direct):
Ba 0.000 0.000 0.000
Au 0.500 0.500 0.500
N 0.000 0.500 0.000
N 0.500 0.000 0.000
F 0.000 0.000 0.500

A plane-wave DFT calculation with PBE was carried out for AlCu after structural relaxation.

Output
energy of formation from the pure elements: -0.07 eV/f.u.
total magnetic moment: 0.00 μB/cell
ρ: 5.1 Mg/m³

Lattice parameters (Å, degrees): 2.798 5.615 5.615 84.74 90.00 90.00
Positions (direct):
Al 0.000 0.000 0.000
Al 0.500 0.312 0.675
Al 0.500 0.675 0.312
Cu 0.000 0.033 0.444
Cu 0.000 0.444 0.033
Cu 0.500 0.749 0.749

A plane-wave DFT calculation with PBE was carried out for SrY2As2 after structural relaxation.

Output
energy of formation from the pure elements: -4.61 eV/f.u.
relative energy among the computed polymorphs: 131 meV/atom
total magnetic moment: 0.61 μB/cell
ρ: 4.7 Mg/m³

Lattice parameters (Å, degrees): 7.524 7.524 7.524 143.76 143.76 52.19
Positions (direct):
Sr 0.000 0.000 0.000
Y 0.250 0.750 0.500
Y 0.750 0.250 0.500
As 0.376 0.376 0.000
As 0.624 0.624 0.000

A plane-wave DFT calculation with PBE was carried out for TaCd3Sb after structural relaxation.

Output
formation energy (no corrections): 1133 meV per atom
relative energy among the computed polymorphs: 0 meV/atom
total magnetic moment: 0.00 μB/cell
ρ: 6.8 Mg/m³

Lattice parameters (Å, degrees): 5.377 5.377 5.377 90.00 90.00 90.00
Positions (direct):
Ta 0.000 0.000 0.000
Cd 0.000 0.000 0.500
Cd 0.000 0.500 0.000
Cd 0.500 0.000 0.000
Sb 0.500 0.500 0.500

A plane-wave DFT calculation with PBE was carried out for LiHf2Al after structural relaxation.

Output
energy of formation from the pure elements: 1.47 eV/f.u.
total magnetic moment: 0.00 μB/cell
ρ: 8.4 Mg/m³

Lattice parameters (Å, degrees): 5.986 5.986 5.986 101.99 101.99 125.78
Positions (direct):
Li 0.000 0.000 0.000
Li 0.750 0.250 0.500
Hf 0.113 0.625 0.988
Hf 0.375 0.363 0.488
Hf 0.637 0.125 0.012
Hf 0.875 0.887 0.512
Al 0.250 0.750 0.500
Al 0.500 0.500 0.000

A plane-wave DFT calculation with PBE was carried out for Sr3Sn5Rh6 after structural relaxation.

Output
energy of formation from the pure elements: -8.11 eV/f.u.
total magnetic moment: 0.00 μB/cell
ρ: 7.7 Mg/m³

Lattice parameters (Å, degrees): 4.398 13.571 10.602 90.00 90.00 90.00
Positions (direct):
Sr 0.250 0.090 0.245
Sr 0.250 0.410 0.245
Sr 0.250 0.750 0.255
Sr 0.750 0.250 0.745
Sr 0.750 0.590 0.755
Sr 0.750 0.910 0.755
Sn 0.250 0.077 0.646
Sn 0.250 0.423 0.646
Sn 0.250 0.627 0.992
Sn 0.250 0.750 0.615
Sn 0.250 0.873 0.992
Sn 0.750 0.127 0.008
Sn 0.750 0.250 0.385
Sn 0.750 0.373 0.008
Sn 0.750 0.577 0.354
Sn 0.750 0.923 0.354
Rh 0.250 0.054 0.899
Rh 0.250 0.250 0.519
Rh 0.250 0.250 0.994
Rh 0.250 0.446 0.899
Rh 0.250 0.580 0.494
Rh 0.250 0.920 0.494
Rh 0.750 0.080 0.506
Rh 0.750 0.420 0.506
Rh 0.750 0.554 0.101
Rh 0.750 0.750 0.006
Rh 0.750 0.750 0.481
Rh 0.750 0.946 0.101

A plane-wave DFT calculation with PBE was carried out for TaVP2 after structural relaxation.

Output
energy of formation from the pure elements: -0.01 eV/f.u.
relative energy among the computed polymorphs: 612 meV/atom
total magnetic moment: 3.99 μB/cell
ρ: 5.9 Mg/m³

Lattice parameters (Å, degrees): 6.748 6.748 6.748 132.04 132.04 70.17
Positions (direct):
Ta 0.000 0.000 0.000
Ta 0.750 0.250 0.500
V 0.250 0.750 0.500
V 0.500 0.500 0.000
P 0.137 0.625 0.012
P 0.375 0.387 0.512
P 0.613 0.125 0.988
P 0.875 0.863 0.488

A plane-wave DFT calculation with PBE was carried out for CePaBeN3 after structural relaxation.

Output
formation energy (no corrections): -1345 meV per atom
total magnetic moment: 2.27 μB/cell
ρ: 8.5 Mg/m³

Lattice parameters (Å, degrees): 6.903 3.359 7.248 90.00 99.19 90.00
Positions (direct):
Ce 0.205 0.250 0.164
Ce 0.795 0.750 0.836
Pa 0.196 0.250 0.651
Pa 0.804 0.750 0.349
Be 0.406 0.750 0.925
Be 0.594 0.250 0.075
N 0.136 0.750 0.412
N 0.155 0.750 0.877
N 0.495 0.250 0.846
N 0.505 0.750 0.154
N 0.845 0.250 0.123
N 0.864 0.250 0.588

A plane-wave DFT calculation with PBE was carried out for RbBiTe4Pb2 after structural relaxation.

Output
formation energy (no corrections): -419 meV per atom
total magnetic moment: 0.00 μB/cell
ρ: 6.9 Mg/m³

Lattice parameters (Å, degrees): 9.401 9.401 9.401 120.40 118.98 90.54
Positions (direct):
Rb 0.500 0.000 0.000
Rb 0.500 0.500 0.500
Bi 0.000 0.000 0.000
Bi 0.500 0.000 0.500
Te 0.225 0.245 0.980
Te 0.235 0.755 0.480
Te 0.242 0.232 0.490
Te 0.242 0.752 0.010
Te 0.758 0.248 0.990
Te 0.758 0.768 0.510
Te 0.765 0.245 0.520
Te 0.775 0.755 0.020
Pb 0.000 0.000 0.500
Pb 0.000 0.500 0.000
Pb 0.000 0.500 0.500
Pb 0.500 0.500 0.000

A plane-wave DFT calculation with PBE was carried out for RbPH after structural relaxation.

Output
relative energy among the computed polymorphs: 136 meV/atom
total magnetic moment: 0.00 μB/cell
ρ: 2.1 Mg/m³

Lattice parameters (Å, degrees): 4.319 4.569 19.090 90.00 90.00 90.00
Positions (direct):
Rb 0.020 0.250 0.122
Rb 0.480 0.750 0.622
Rb 0.520 0.250 0.378
Rb 0.980 0.750 0.878
P 0.010 0.250 0.523
P 0.490 0.750 0.023
P 0.510 0.250 0.977
P 0.990 0.750 0.477
H 0.178 0.250 0.972
H 0.322 0.750 0.472
H 0.678 0.250 0.528
H 0.822 0.750 0.028